A plane-wave DFT calculation with PBE with a Hubbard U was carried out for a geometry-optimized MnSnMoO6 structure.

CIF file:
```
data_MnSnMoO6
_chemical_formula_sum 'Mn2 Sn2 Mo2 O12'
_cell_length_a 4.670
_cell_length_b 4.670
_cell_length_c 9.677
_cell_angle_alpha 90.00
_cell_angle_beta 90.00
_cell_angle_gamma 90.00
_space_group_name_H-M_alt 'P 42 n m'
_space_group_IT_number 102
loop_
_space_group_symop_operation_xyz
'x,y,z'
'-y+1/2,x+1/2,z+1/2'
'-x,-y,z'
'y+1/2,-x+1/2,z+1/2'
'-x+1/2,y+1/2,z+1/2'
'y,x,z'
'x+1/2,-y+1/2,z+1/2'
'-y,-x,z'
loop_
_atom_site_label
_atom_site_fract_x
_atom_site_fract_y
_atom_site_fract_z
Mn1 0.000 0.000 0.000
Sn1 0.000 0.000 0.333
Mo1 0.000 0.000 0.667
O1 0.191 0.191 0.827
O2 0.200 0.200 0.504
O3 0.206 0.206 0.166
```

Summary:
Raw total energy   -6.98 eV/atom